[1]
First-principles (PBE) data for a relaxed structure of LaTb2PrDy2, as listed in Alexandria via LeMat-Bulk.

The structure in POSCAR format:
```
LaTb2PrDy2
1.0
7.033 0.000 0.000
0.000 9.930 0.000
0.000 0.000 5.730
La Tb Pr Dy
2 4 2 4
direct
0.000 0.000 0.000
0.500 0.500 0.500
0.249 0.333 0.000
0.251 0.833 0.500
0.749 0.167 0.500
0.751 0.667 0.000
0.000 0.500 0.500
0.500 0.000 0.000
0.250 0.167 0.500
0.250 0.667 0.000
0.750 0.333 0.000
0.750 0.833 0.500
```

Summary:
Crystal system: orthorhombic

=====

[2]
First-principles (PBE) data for a relaxed structure of CePmPrHg, as listed in Alexandria via LeMat-Bulk.

The structure in POSCAR format:
```
CePmPrHg
1.0
7.818 0.000 0.000
0.000 7.818 0.000
0.000 0.000 7.818
Ce Pm Pr Hg
4 4 4 4
direct
0.000 0.000 0.000
0.000 0.500 0.500
0.500 0.000 0.500
0.500 0.500 0.000
0.250 0.250 0.750
0.250 0.750 0.250
0.750 0.250 0.250
0.750 0.750 0.750
0.000 0.000 0.500
0.000 0.500 0.000
0.500 0.000 0.000
0.500 0.500 0.500
0.250 0.250 0.250
0.250 0.750 0.750
0.750 0.250 0.750
0.750 0.750 0.250
```

Summary:
Crystal system: cubic

=====

[3]
First-principles (PBE) data for a relaxed structure of Co4MoP, as listed in Alexandria via LeMat-Bulk.

The structure in POSCAR format:
```
Co4MoP
1.0
0.000 3.268 3.268
3.268 0.000 3.268
3.268 3.268 0.000
Co Mo P
4 1 1
direct
0.125 0.125 0.125
0.125 0.125 0.625
0.125 0.625 0.125
0.625 0.125 0.125
0.750 0.750 0.750
0.500 0.500 0.500
```

Summary:
Crystal system: cubic

=====

So what do the calculations give for E_form? Going down the list: 0.39 -0.07 1.57 eV per formula unit.